Cs4Cd4Pt, relaxed, DFT PBE; calculated volume = 52.9 A^3/atom; DFT formation energy = -82 meV per atom; total moment = 0.0 μB per formula unit; calculated total energy = -1.54 eV per atom
1.0
-6.4279 -2.4005 3.6955
6.8461 -6.6697 -0.6420
4.1199 -0.9544 6.5461
Cd Pt Cs
4 1 4
direct
0.8965 0.1979 0.6986
0.6986 0.8021 0.3014
0.1035 0.8021 0.8965
0.3014 0.1979 0.1035
0.0000 0.0000 0.0000
0.8570 0.2778 0.1430
0.4209 0.2778 0.5791
0.5791 0.7222 0.8570
0.1430 0.7222 0.4209